{"formula": "AsAu15", "functional": "PBE", "state": "relaxed", "final_energy_ev_per_atom": -3.298, "mass_density_g_cm3": 15.3, "spacegroup": "No. 1", "lattice": [[4.091, 0.000, 0.000], [-0.016, 8.072, 0.000], [-0.008, -0.002, 39.705]], "species": ["As", "As", "As", "As", "Au", "Au", "Au", "Au", "Au", "Au", "Au", "Au", "Au", "Au", "Au", "Au", "Au", "Au", "Au", "Au", "Au", "Au", "Au", "Au", "Au", "Au", "Au", "Au", "Au", "Au", "Au", "Au", "Au", "Au", "Au", "Au", "Au", "Au", "Au", "Au", "Au", "Au", "Au", "Au", "Au", "Au", "Au", "Au", "Au", "Au", "Au", "Au", "Au", "Au", "Au", "Au", "Au", "Au", "Au", "Au", "Au", "Au", "Au", "Au"], "fractional_positions": [[0.000, 0.000, 0.000], [0.007, 0.611, 0.811], [0.501, 0.999, 0.811], [0.511, 0.611, 0.000], [0.003, 0.177, 0.057], [0.003, 0.177, 0.594], [0.003, 0.178, 0.164], [0.003, 0.179, 0.379], [0.003, 0.179, 0.486], [0.003, 0.180, 0.271], [0.003, 0.929, 0.325], [0.003, 0.929, 0.432], [0.004, 0.179, 0.701], [0.004, 0.679, 0.379], [0.004, 0.927, 0.108], [0.004, 0.928, 0.648], [0.004, 0.929, 0.217], [0.004, 0.931, 0.540], [0.005, 0.430, 0.325], [0.005, 0.430, 0.432], [0.005, 0.431, 0.110], [0.005, 0.678, 0.272], [0.005, 0.680, 0.486], [0.005, 0.681, 0.594], [0.005, 0.682, 0.162], [0.005, 0.683, 0.703], [0.005, 0.685, 0.051], [0.005, 0.925, 0.761], [0.006, 0.192, 0.817], [0.006, 0.419, 0.994], [0.006, 0.430, 0.540], [0.006, 0.432, 0.647], [0.006, 0.433, 0.217], [0.006, 0.433, 0.755], [0.502, 0.419, 0.817], [0.503, 0.178, 0.217], [0.503, 0.178, 0.755], [0.503, 0.179, 0.110], [0.503, 0.179, 0.325], [0.503, 0.179, 0.647], [0.503, 0.180, 0.432], [0.503, 0.180, 0.540], [0.503, 0.926, 0.051], [0.504, 0.684, 0.108], [0.504, 0.927, 0.703], [0.504, 0.928, 0.162], [0.504, 0.930, 0.379], [0.504, 0.930, 0.486], [0.504, 0.930, 0.594], [0.504, 0.931, 0.272], [0.505, 0.431, 0.701], [0.505, 0.432, 0.164], [0.505, 0.433, 0.057], [0.505, 0.678, 0.540], [0.505, 0.680, 0.325], [0.505, 0.680, 0.432], [0.505, 0.681, 0.217], [0.505, 0.683, 0.648], [0.505, 0.686, 0.761], [0.506, 0.192, 0.994], [0.506, 0.430, 0.271], [0.506, 0.430, 0.379], [0.506, 0.430, 0.486], [0.506, 0.433, 0.594]]}